First-principles (PBE) data for a relaxed BaLiCa6 crystal, as listed in Alexandria.

Cell lengths 8.949, 8.949, 4.213 Å; angles 90.00, 90.00, 90.00 degrees
Space group P4/mmm (No. 123)
Symmetry-distinct sites (fractional):
Ba 0.000 0.000 0.000 [1 per cell]
Li 0.500 0.500 0.000 [1 per cell]
Ca 0.000 0.500 0.000 [2 per cell]
Ca 0.282 0.282 0.500 [4 per cell]

## Properties
* DFT formation energy: 0.03 eV/atom
* VASP energy: -15.6 eV per cell
* V: 337 Å³ per cell
* relative energy among the computed polymorphs: 0 kJ/mol of formula units
* magnetic moment: 0.000 μB per cell


First-principles (PBE) data for a relaxed Ba2LiCa6 crystal, as listed in Alexandria.

Cell lengths 14.174, 8.174, 6.989 Å; angles 90.00, 90.07, 90.00 degrees
Space group C2/m (No. 12)
Symmetry-distinct sites (fractional):
Ba 0.167 0.000 0.208 [4 per cell]
Li 0.000 0.500 0.000 [2 per cell]
Ca 0.086 0.242 0.716 [8 per cell]
Ca 0.172 0.500 0.283 [4 per cell]

## Properties
* DFT formation energy: 0.07 eV/atom
* VASP energy: -34.2 eV per cell
* V: 810 Å³ per cell
* magnetic moment: 0.001 μB per cell


First-principles (PBE) data for a relaxed BaLiCa2 crystal, as listed in Alexandria.

Cell lengths 4.120, 4.120, 9.857 Å; angles 90.00, 90.00, 90.00 degrees
Space group P4/mmm (No. 123)
Symmetry-distinct sites (fractional):
Ba 0.000 0.000 0.000 [1 per cell]
Li 0.000 0.000 0.500 [1 per cell]
Ca 0.500 0.500 0.309 [2 per cell]

## Properties
* DFT formation energy: 0.03 eV/atom
* VASP energy: -7.7 eV per cell
* V: 167 Å³ per cell
* relative energy among the computed polymorphs: 3 kJ/mol of formula units
* magnetic moment: 0.000 μB per cell


First-principles (PBE) data for a relaxed Ba4LiCa8 crystal, as listed in Alexandria.

Cell lengths 11.060, 6.383, 17.330 Å; angles 90.00, 102.56, 90.00 degrees
Space group C2/m (No. 12)
Symmetry-distinct sites (fractional):
Ba 0.117 0.000 0.347 [4 per cell]
Ba 0.151 0.500 0.955 [4 per cell]
Li 0.000 0.500 0.500 [2 per cell]
Ca 0.040 0.000 0.118 [4 per cell]
Ca 0.072 0.500 0.719 [4 per cell]
Ca 0.188 0.000 0.571 [4 per cell]
Ca 0.234 0.500 0.200 [4 per cell]

## Properties
* DFT formation energy: 0.06 eV/atom
* VASP energy: -49.7 eV per cell
* V: 1194 Å³ per cell
* magnetic moment: 0.000 μB per cell


First-principles (PBE) data for a relaxed BaLiCa3 crystal, as listed in Alexandria.

Cell lengths 8.610, 8.610, 8.610 Å; angles 90.00, 90.00, 90.00 degrees
Space group Pm-3m (No. 221)
Symmetry-distinct sites (fractional):
Ba 0.000 0.000 0.500 [3 per cell]
Li 0.000 0.500 0.500 [3 per cell]
Ca 0.000 0.000 0.000 [1 per cell]
Ca 0.276 0.276 0.276 [8 per cell]

## Properties
* DFT formation energy: 0.10 eV/atom
* VASP energy: -28.1 eV per cell
* V: 638 Å³ per cell
* relative energy among the computed polymorphs: 0 kJ/mol of formula units
* magnetic moment: 0.010 μB per cell


First-principles (PBE) data for a relaxed Ba8Li2Ca crystal, as listed in Alexandria.

Cell lengths 21.524, 6.277, 9.613 Å; angles 90.00, 112.89, 90.00 degrees
Space group C2/m (No. 12)
Symmetry-distinct sites (fractional):
Ba 0.039 0.000 0.261 [4 per cell]
Ba 0.099 0.500 0.973 [4 per cell]
Ba 0.177 0.000 0.771 [4 per cell]
Ba 0.180 0.500 0.448 [4 per cell]
Li 0.193 0.000 0.178 [4 per cell]
Ca 0.000 0.500 0.500 [2 per cell]

## Properties
* DFT formation energy: 0.06 eV/atom
* VASP energy: -41.1 eV per cell
* V: 1196 Å³ per cell
* magnetic moment: 0.000 μB per cell


First-principles (PBE) data for a relaxed BaLiCa2 crystal, as listed in Alexandria.

Cell lengths 7.660, 11.506, 3.923 Å; angles 90.00, 90.00, 90.00 degrees
Space group Cmmm (No. 65)
Symmetry-distinct sites (fractional):
Ba 0.000 0.000 0.000 [2 per cell]
Li 0.000 0.500 0.000 [2 per cell]
Ca 0.250 0.250 0.500 [4 per cell]

## Properties
* DFT formation energy: 0.14 eV/atom
* VASP energy: -14.5 eV per cell
* V: 346 Å³ per cell
* relative energy among the computed polymorphs: 44 kJ/mol of formula units
* magnetic moment: 0.000 μB per cell


First-principles (PBE) data for a relaxed BaLiCa3 crystal, as listed in Alexandria.

Cell lengths 6.046, 6.046, 6.046 Å; angles 90.00, 90.00, 90.00 degrees
Space group Pm-3m (No. 221)
Symmetry-distinct sites (fractional):
Ba 0.000 0.000 0.000 [1 per cell]
Li 0.500 0.500 0.500 [1 per cell]
Ca 0.000 0.500 0.500 [3 per cell]

## Properties
* DFT formation energy: 0.12 eV/atom
* VASP energy: -9.2 eV per cell
* V: 221 Å³ per cell
* relative energy among the computed polymorphs: 12 kJ/mol of formula units
* magnetic moment: 0.000 μB per cell


First-principles (PBE) data for a relaxed BaLiCa2 crystal, as listed in Alexandria.

Cell lengths 7.513, 12.915, 3.862 Å; angles 90.00, 114.11, 90.00 degrees
Space group C2/m (No. 12)
Symmetry-distinct sites (fractional):
Ba 0.000 0.000 0.000 [2 per cell]
Li 0.000 0.500 0.000 [2 per cell]
Ca 0.250 0.250 0.500 [4 per cell]

## Properties
* DFT formation energy: 0.11 eV/atom
* VASP energy: -14.8 eV per cell
* V: 342 Å³ per cell
* relative energy among the computed polymorphs: 31 kJ/mol of formula units
* magnetic moment: 0.000 μB per cell


First-principles (PBE) data for a relaxed BaLi6Ca2 crystal, as listed in Alexandria.

Cell lengths 15.592, 8.997, 3.985 Å; angles 90.00, 90.02, 90.00 degrees
Space group C2/m (No. 12)
Symmetry-distinct sites (fractional):
Ba 0.000 0.000 0.000 [2 per cell]
Li 0.000 0.343 0.500 [4 per cell]
Li 0.171 0.172 0.503 [8 per cell]
Ca 0.167 0.500 0.000 [4 per cell]

## Properties
* DFT formation energy: 0.07 eV/atom
* VASP energy: -33.6 eV per cell
* V: 559 Å³ per cell
* magnetic moment: 0.000 μB per cell


First-principles (PBE) data for a relaxed BaLiCa2 crystal, as listed in Alexandria.

Cell lengths 7.001, 7.001, 18.237 Å; angles 90.00, 90.00, 90.00 degrees
Space group I-42d (No. 122)
Symmetry-distinct sites (fractional):
Ba 0.000 0.000 0.000 [4 per cell]
Li 0.000 0.000 0.500 [4 per cell]
Ca 0.003 0.250 0.625 [8 per cell]

## Properties
* DFT formation energy: 0.56 eV/atom
* VASP energy: -22.5 eV per cell
* V: 894 Å³ per cell
* relative energy among the computed polymorphs: 203 kJ/mol of formula units
* magnetic moment: 0.000 μB per cell


First-principles (PBE) data for a relaxed BaLiCa2 crystal, as listed in Alexandria.

Cell lengths 8.696, 8.696, 8.696 Å; angles 90.00, 90.00, 90.00 degrees
Space group Fm-3m (No. 225)
Symmetry-distinct sites (fractional):
Ba 0.000 0.000 0.000 [4 per cell]
Li 0.000 0.000 0.500 [4 per cell]
Ca 0.250 0.250 0.250 [8 per cell]

## Properties
* DFT formation energy: 0.12 eV/atom
* VASP energy: -29.4 eV per cell
* V: 658 Å³ per cell
* relative energy among the computed polymorphs: 35 kJ/mol of formula units
* magnetic moment: 0.000 μB per cell


First-principles (PBE) data for a relaxed BaLiCa2 crystal, as listed in Alexandria.

Cell lengths 4.0081, 4.0081, 36.5773 Å; angles 90.00, 90.00, 120.00 degrees
Space group R-3m (No. 166, hexagonal axes)
Symmetry-distinct sites (fractional):
Ba 0.0000 0.0000 0.0000 [3 per cell]
Li 0.0000 0.0000 0.5000 [3 per cell]
Ca 0.0000 0.0000 0.2385 [6 per cell]

## Properties
* DFT formation energy: 0.11 eV/atom
* VASP energy: -22.2 eV per cell
* V: 509 Å³ per cell
* relative energy among the computed polymorphs: 33 kJ/mol of formula units
* magnetic moment: 0.002 μB per cell


First-principles (PBE) data for a relaxed BaLi3Ca2 crystal, as listed in Alexandria.

Cell lengths 4.131, 4.131, 12.162 Å; angles 90.00, 90.00, 90.00 degrees
Space group P4/mmm (No. 123)
Symmetry-distinct sites (fractional):
Ba 0.000 0.000 0.000 [1 per cell]
Li 0.500 0.500 0.196 [2 per cell]
Li 0.500 0.500 0.500 [1 per cell]
Ca 0.000 0.000 0.342 [2 per cell]

## Properties
* DFT formation energy: 0.03 eV/atom
* VASP energy: -11.5 eV per cell
* V: 208 Å³ per cell
* magnetic moment: 0.000 μB per cell


First-principles (PBE) data for a relaxed BaLi3Ca3 crystal, as listed in Alexandria.

Cell lengths 8.481, 8.481, 8.481 Å; angles 90.00, 90.00, 90.00 degrees
Space group Pm-3n (No. 223)
Symmetry-distinct sites (fractional):
Ba 0.000 0.000 0.000 [2 per cell]
Li 0.000 0.250 0.500 [6 per cell]
Ca 0.000 0.500 0.250 [6 per cell]

## Properties
* DFT formation energy: 0.41 eV/atom
* VASP energy: -21.6 eV per cell
* V: 610 Å³ per cell
* magnetic moment: 0.000 μB per cell


First-principles (PBE) data for a relaxed BaLi6Ca crystal, as listed in Alexandria.

Cell lengths 5.308, 7.213, 12.266 Å; angles 90.00, 90.00, 90.00 degrees
Space group Amm2 (No. 38)
Symmetry-distinct sites (fractional):
Ba 0.000 0.000 0.000 [2 per cell]
Li 0.000 0.000 0.487 [2 per cell]
Li 0.000 0.211 0.265 [4 per cell]
Li 0.500 0.000 0.204 [2 per cell]
Li 0.500 0.195 0.407 [4 per cell]
Ca 0.500 0.000 0.676 [2 per cell]

## Properties
* DFT formation energy: 0.06 eV/atom
* VASP energy: -29.8 eV per cell
* V: 470 Å³ per cell
* relative energy among the computed polymorphs: 0 kJ/mol of formula units
* magnetic moment: 0.000 μB per cell


First-principles (PBE) data for a relaxed BaLiCa4 crystal, as listed in Alexandria.

Cell lengths 7.753, 7.753, 18.026 Å; angles 90.00, 90.00, 90.00 degrees
Space group I4/mcm (No. 140)
Symmetry-distinct sites (fractional):
Ba 0.000 0.000 0.000 [4 per cell]
Li 0.000 0.000 0.250 [4 per cell]
Ca 0.166 0.334 0.160 [16 per cell]

## Properties
* DFT formation energy: 0.14 eV/atom
* VASP energy: -44.1 eV per cell
* V: 1084 Å³ per cell
* relative energy among the computed polymorphs: 38 kJ/mol of formula units
* magnetic moment: 0.001 μB per cell


First-principles (PBE) data for a relaxed Ba2Li9Ca crystal, as listed in Alexandria.

Cell lengths 6.3282, 6.3282, 30.2540 Å; angles 90.00, 90.00, 120.00 degrees
Space group R-3m (No. 166, hexagonal axes)
Symmetry-distinct sites (fractional):
Ba 0.0000 0.0000 0.1375 [6 per cell]
Li 0.0000 0.0000 0.3320 [6 per cell]
Li 0.0000 0.0000 0.5000 [3 per cell]
Li 0.0022 0.5011 0.0767 [18 per cell]
Ca 0.0000 0.0000 0.0000 [3 per cell]

## Properties
* DFT formation energy: 0.03 eV/atom
* VASP energy: -68.2 eV per cell
* V: 1049 Å³ per cell
* magnetic moment: 0.000 μB per cell


First-principles (PBE) data for a relaxed Ba4LiCa3 crystal, as listed in Alexandria.

Cell lengths 4.430, 4.430, 20.565 Å; angles 90.00, 90.00, 90.00 degrees
Space group P4/mmm (No. 123)
Symmetry-distinct sites (fractional):
Ba 0.000 0.000 0.104 [2 per cell]
Ba 0.000 0.000 0.370 [2 per cell]
Li 0.500 0.500 0.000 [1 per cell]
Ca 0.500 0.500 0.238 [2 per cell]
Ca 0.500 0.500 0.500 [1 per cell]

## Properties
* DFT formation energy: 0.04 eV/atom
* VASP energy: -15.3 eV per cell
* V: 404 Å³ per cell
* magnetic moment: 0.000 μB per cell


First-principles (PBE) data for a relaxed BaLiCa2 crystal, as listed in Alexandria.

Cell lengths 5.426, 5.426, 11.701 Å; angles 90.00, 90.00, 90.00 degrees
Space group I4/mmm (No. 139)
Symmetry-distinct sites (fractional):
Ba 0.000 0.000 0.000 [2 per cell]
Li 0.000 0.000 0.500 [2 per cell]
Ca 0.000 0.500 0.250 [4 per cell]

## Properties
* DFT formation energy: 0.11 eV/atom
* VASP energy: -14.8 eV per cell
* V: 344 Å³ per cell
* relative energy among the computed polymorphs: 32 kJ/mol of formula units
* magnetic moment: 0.000 μB per cell